## LaIn3Au (GGA-PBE)

Data for a relaxed LaIn3Au crystal.

The structure belongs to space group Pm-3m (No. 221); the cell edges are 6.114, 6.114 and 6.114 Å and the angles 90.00°, 90.00° and 90.00°. Symmetry generates all atoms from La at (0.000, 0.000, 0.000), In at (0.000, 0.000, 0.500) and Au at (0.500, 0.500, 0.500).

The calculation puts the energy above the most stable polymorph in this dataset at 1397.9 meV per atom. For the formation enthalpy at 0 K, the calculation gives 4.58 eV per formula unit.

=====

## LaInAu (GGA-PBE)

Data for a relaxed LaInAu crystal.

The structure belongs to space group P-62m (No. 189); the cell edges are 7.8782, 7.8782 and 4.3162 Å and the angles 90.00°, 90.00° and 120.00°. Symmetry generates all atoms from La at (0.0000, 0.4139, 0.0000), In at (0.0000, 0.7519, 0.5000), Au at (0.0000, 0.0000, 0.0000) and Au at (0.3333, 0.6667, 0.5000).

For the formation enthalpy at 0 K, the calculation gives -2.29 eV per formula unit.

=====

## La3In6Au5 (GGA-PBE)

Data for a relaxed La3In6Au5 crystal.

The structure belongs to space group Pmmn (No. 59, origin choice 2); the cell edges are 4.795, 14.231 and 9.937 Å and the angles 90.00°, 90.00° and 90.00°. Symmetry generates all atoms from La at (0.250, 0.044, 0.249), La at (0.250, 0.750, 0.244), In at (0.250, 0.083, 0.898), In at (0.250, 0.250, 0.084), In at (0.250, 0.250, 0.443), In at (0.250, 0.598, 0.527), Au at (0.250, 0.097, 0.624), Au at (0.250, 0.618, 0.965) and Au at (0.250, 0.750, 0.730).

For the formation enthalpy at 0 K, the calculation gives -8.01 eV per formula unit.

=====

## La3In3Au8 (GGA-PBE)

Data for a relaxed La3In3Au8 crystal.

The structure belongs to space group Immm (No. 71); the cell edges are 4.710, 9.845 and 14.153 Å and the angles 90.00°, 90.00° and 90.00°. Symmetry generates all atoms from La at (0.000, 0.000, 0.000), La at (0.000, 0.000, 0.290), In at (0.000, 0.204, 0.500), In at (0.000, 0.500, 0.000), Au at (0.000, 0.292, 0.138) and Au at (0.000, 0.361, 0.337).

For the formation enthalpy at 0 K, the calculation gives -8.45 eV per formula unit.

=====

## LaInAu2 (GGA-PBE)

Data for a relaxed LaInAu2 crystal.

The structure belongs to space group P2/m (No. 10); the cell edges are 3.762, 3.708 and 6.961 Å and the angles 90.00°, 90.40° and 90.00°. Symmetry generates all atoms from La at (0.000, 0.000, 0.000), In at (0.000, 0.000, 0.500) and Au at (0.496, 0.500, 0.736).

For the formation enthalpy at 0 K, the calculation gives -2.22 eV per formula unit.

=====

## LaIn5Au3 (GGA-PBE)

Data for a relaxed LaIn5Au3 crystal.

The structure belongs to space group Cmcm (No. 63); the cell edges are 4.376, 14.577 and 14.174 Å and the angles 90.00°, 90.00° and 90.00°. Symmetry generates all atoms from La at (0.000, 0.170, 0.250), In at (0.000, 0.000, 0.000), In at (0.000, 0.198, 0.556), In at (0.000, 0.434, 0.147), Au at (0.000, 0.161, 0.750) and Au at (0.000, 0.385, 0.588).

For the formation enthalpy at 0 K, the calculation gives -2.63 eV per formula unit.

=====

no.,spin magnetization (μB per formula unit)
1,0.0
2,0.0
3,0.0
4,0.0
5,0.0
6,0.0